1.
Computed, not measured: a geometry-optimized Cd2NiCl structure at the PBE-GGA level of DFT.

Computed properties:
The value obtained for the final energy is -8.8 eV/cell. As for the formation energy (no corrections): 0.175 eV per atom. The calculated density comes out at 6.58 Mg/m³. The value obtained for the calculated volume is 80.5 Å³ per cell. Its space group is I-4m2, No. 119.

abc: 6.005 6.005 6.005
angles: 142.30 142.30 54.38
Sites, in units of the cell vectors:
1 Cd 0.000 0.000 0.000
2 Cd 0.750 0.250 0.500
3 Ni 0.500 0.500 0.000
4 Cl 0.250 0.750 0.500

---

2.
Computed, not measured: a geometry-optimized NaReO2 structure at the PBE-GGA level of DFT.

Computed properties:
The value obtained for the final energy is -28.6 eV/cell. As for the formation energy (no corrections): -1.222 eV per atom. The calculated density comes out at 7.84 Mg/m³. The value obtained for the calculated volume is 51.1 Å³ per cell. Its space group is R-3m, No. 166.

abc: 6.759 6.759 6.759
angles: 25.69 25.69 25.69
Sites, in units of the cell vectors:
1 Na 0.000 0.000 0.000
2 Re 0.500 0.500 0.500
3 O 0.409 0.409 0.409
4 O 0.591 0.591 0.591

---

3.
Computed, not measured: a geometry-optimized NiRuPt2 structure at the PBE-GGA level of DFT.

Computed properties:
The value obtained for the final energy is -26.5 eV/cell. The calculated density comes out at 15.67 Mg/m³. The formation energy from the elements comes out at 0.152 eV per atom. The value obtained for the calculated volume is 58.3 Å³ per cell. Its space group is P4/mmm, No. 123.

abc: 4.642 4.642 2.705
angles: 90.00 90.00 90.00
Sites, in units of the cell vectors:
1 Ni 0.000 0.000 0.000
2 Ru 0.500 0.500 0.000
3 Pt 0.000 0.500 0.500
4 Pt 0.500 0.000 0.500

---

4.
Computed, not measured: a geometry-optimized Sc2ZnIr structure at the PBE-GGA level of DFT.

Computed properties:
The value obtained for the final energy is -24.3 eV/cell. The calculated density comes out at 7.22 Mg/m³. The formation energy from the elements comes out at -0.376 eV per atom. The value obtained for the calculated volume is 79.9 Å³ per cell. Its space group is C2/m, No. 12.

abc: 3.710 3.710 7.633
angles: 98.16 98.16 50.38
Sites, in units of the cell vectors:
1 Sc 0.250 0.250 0.222
2 Sc 0.750 0.750 0.778
3 Zn 0.000 0.000 0.500
4 Ir 0.500 0.500 0.000

---

5.
Computed, not measured: a geometry-optimized K2ScTlF structure at the PBE-GGA level of DFT.

Computed properties:
The value obtained for the final energy is -12.4 eV/cell. As for the formation energy (no corrections): 0.068 eV per atom. The calculated density comes out at 2.12 Mg/m³. The value obtained for the calculated volume is 271.8 Å³ per cell. Its space group is P4/mmm, No. 123.

abc: 7.100 7.100 5.391
angles: 90.00 90.00 90.00
Sites, in units of the cell vectors:
1 K 0.000 0.500 0.000
2 K 0.500 0.000 0.000
3 Sc 0.000 0.000 0.000
4 Tl 0.000 0.000 0.500
5 F 0.500 0.500 0.500

---

6.
Computed, not measured: a geometry-optimized SeBr structure at the PBE-GGA level of DFT.

Computed properties:
The value obtained for the final energy is -3.5 eV/cell. As for the formation energy (no corrections): 0.806 eV per atom. The calculated density comes out at 3.61 Mg/m³. The value obtained for the calculated volume is 73.0 Å³ per cell. Its space group is F-43m, No. 216.

abc: 4.692 4.692 4.692
angles: 60.00 60.00 60.00
Sites, in units of the cell vectors:
1 Se 0.000 0.000 0.000
2 Br 0.750 0.750 0.750

---

7.
Computed, not measured: a geometry-optimized Sr2LiTl structure at the PBE-GGA level of DFT.

Computed properties:
The value obtained for the final energy is -7.9 eV/cell. The calculated density comes out at 4.14 Mg/m³. The formation energy from the elements comes out at -0.060 eV per atom. The value obtained for the calculated volume is 155.1 Å³ per cell. Its space group is C2/m, No. 12.

abc: 5.783 5.783 7.196
angles: 100.53 100.53 41.08
Sites, in units of the cell vectors:
1 Sr 0.243 0.243 0.235
2 Sr 0.757 0.757 0.765
3 Li 0.000 0.000 0.500
4 Tl 0.500 0.500 0.000

---

8.
Computed, not measured: a geometry-optimized Ca3TcS structure at the PBE-GGA level of DFT.

Computed properties:
The value obtained for the final energy is -20.8 eV/cell. As for the formation energy (no corrections): -0.052 eV per atom. The calculated density comes out at 2.77 Mg/m³. The value obtained for the calculated volume is 150.2 Å³ per cell. Its space group is Pm-3m, No. 221.

abc: 5.316 5.316 5.316
angles: 90.00 90.00 90.00
Sites, in units of the cell vectors:
1 Ca 0.000 0.000 0.500
2 Ca 0.000 0.500 0.000
3 Ca 0.500 0.000 0.000
4 Tc 0.500 0.500 0.500
5 S 0.000 0.000 0.000

---

9.
Computed, not measured: a geometry-optimized Pm2AlPdO6 structure at the PBE-GGA level of DFT.

Computed properties:
The value obtained for the final energy is -73.3 eV/cell. As for the formation energy (no corrections): -2.510 eV per atom. The calculated density comes out at 7.13 Mg/m³. The value obtained for the calculated volume is 121.0 Å³ per cell. Its space group is P-1, No. 2.

abc: 5.366 5.455 5.586
angles: 118.25 118.50 90.08
Sites, in units of the cell vectors:
1 Pm 0.250 0.231 0.498
2 Pm 0.750 0.769 0.502
3 Al 0.500 0.000 0.000
4 Pd 0.000 0.500 0.000
5 O 0.189 0.175 0.871
6 O 0.281 0.679 0.560
7 O 0.321 0.823 0.129
8 O 0.679 0.177 0.871
9 O 0.719 0.321 0.440
10 O 0.811 0.825 0.129

---

10.
Computed, not measured: a geometry-optimized Na2CaPb6 structure at the PBE-GGA level of DFT.

Computed properties:
The value obtained for the final energy is -55.9 eV/cell. The calculated density comes out at 7.83 Mg/m³. The formation energy from the elements comes out at -0.116 eV per atom. The value obtained for the calculated volume is 563.9 Å³ per cell. Its space group is C2/c, No. 15.

abc: 9.434 9.434 6.699
angles: 101.85 101.85 78.83
Sites, in units of the cell vectors:
1 Na 0.178 0.210 0.394
2 Na 0.210 0.178 0.894
3 Na 0.790 0.822 0.106
4 Na 0.822 0.790 0.606
5 Ca 0.397 0.603 0.250
6 Ca 0.603 0.397 0.750
7 Pb 0.064 0.551 0.262
8 Pb 0.128 0.842 0.988
9 Pb 0.158 0.872 0.512
10 Pb 0.248 0.513 0.732
11 Pb 0.449 0.936 0.238
12 Pb 0.487 0.752 0.768
13 Pb 0.513 0.248 0.232
14 Pb 0.551 0.064 0.762
15 Pb 0.752 0.487 0.268
16 Pb 0.842 0.128 0.488
17 Pb 0.872 0.158 0.012
18 Pb 0.936 0.449 0.738

---

11.
Computed, not measured: a geometry-optimized BeAgCl4 structure at the PBE-GGA level of DFT.

Computed properties:
The value obtained for the final energy is -8.7 eV/cell. As for the formation energy (no corrections): 0.870 eV per atom. The calculated density comes out at 2.92 Mg/m³. The value obtained for the calculated volume is 147.0 Å³ per cell. Its space group is F-43m, No. 216.

abc: 5.924 5.924 5.924
angles: 60.00 60.00 60.00
Sites, in units of the cell vectors:
1 Be 0.000 0.000 0.000
2 Ag 0.250 0.250 0.250
3 Cl 0.125 0.625 0.625
4 Cl 0.625 0.125 0.625
5 Cl 0.625 0.625 0.125
6 Cl 0.625 0.625 0.625

---

12.
Computed, not measured: a geometry-optimized TmLu2V structure at the PBE-GGA level of DFT.

Computed properties:
The value obtained for the final energy is -21.3 eV/cell. The calculated density comes out at 9.22 Mg/m³. The formation energy from the elements comes out at 0.330 eV per atom. The value obtained for the calculated volume is 102.7 Å³ per cell. Its space group is R-3m, No. 166.

abc: 10.567 10.567 10.567
angles: 18.40 18.40 18.40
Sites, in units of the cell vectors:
1 Tm 0.000 0.000 0.000
2 Lu 0.238 0.238 0.238
3 Lu 0.762 0.762 0.762
4 V 0.500 0.500 0.500

---

13.
Computed, not measured: a geometry-optimized Sm6Sc structure at the PBE-GGA level of DFT.

Computed properties:
The value obtained for the final energy is -65.1 eV/cell. The calculated density comes out at 6.69 Mg/m³. The formation energy from the elements comes out at 0.297 eV per atom. The value obtained for the calculated volume is 470.4 Å³ per cell. Its space group is P4/nbm, No. 125.

abc: 6.454 6.454 11.291
angles: 90.00 90.00 90.00
Sites, in units of the cell vectors:
1 Sm 0.081 0.581 0.139
2 Sm 0.081 0.919 0.861
3 Sm 0.250 0.250 0.365
4 Sm 0.250 0.250 0.635
5 Sm 0.419 0.581 0.861
6 Sm 0.419 0.919 0.139
7 Sm 0.581 0.081 0.861
8 Sm 0.581 0.419 0.139
9 Sm 0.750 0.750 0.365
10 Sm 0.750 0.750 0.635
11 Sm 0.919 0.081 0.139
12 Sm 0.919 0.419 0.861
13 Sc 0.250 0.750 0.500
14 Sc 0.750 0.250 0.500

---

14.
Computed, not measured: a geometry-optimized LiPmPrDy structure at the PBE-GGA level of DFT.

Computed properties:
The value obtained for the final energy is -15.4 eV/cell. The calculated density comes out at 6.10 Mg/m³. The formation energy from the elements comes out at 0.161 eV per atom. The value obtained for the calculated volume is 124.0 Å³ per cell. Its space group is F-43m, No. 216.

abc: 5.597 5.597 5.597
angles: 60.00 60.00 60.00
Sites, in units of the cell vectors:
1 Li 0.000 0.000 0.000
2 Pm 0.750 0.750 0.750
3 Pr 0.250 0.250 0.250
4 Dy 0.500 0.500 0.500

---

15.
Computed, not measured: a geometry-optimized Pm4Ho2Er structure at the PBE-GGA level of DFT.

Computed properties:
The value obtained for the final energy is -64.7 eV/cell. The calculated density comes out at 7.71 Mg/m³. The formation energy from the elements comes out at 0.056 eV per atom. The value obtained for the calculated volume is 463.9 Å³ per cell. Its space group is Fdd2, No. 43.

abc: 12.498 6.778 13.469
angles: 67.07 29.96 82.97
Sites, in units of the cell vectors:
1 Pm 0.145 0.292 0.068
2 Pm 0.182 0.755 0.105
3 Pm 0.292 0.145 0.495
4 Pm 0.377 0.623 0.483
5 Pm 0.623 0.377 0.517
6 Pm 0.733 0.767 0.627
7 Pm 0.755 0.182 0.958
8 Pm 0.767 0.733 0.873
9 Ho 0.203 0.684 0.366
10 Ho 0.503 0.884 0.566
11 Ho 0.684 0.203 0.747
12 Ho 0.884 0.503 0.047
13 Er 0.005 0.005 0.995
14 Er 0.255 0.255 0.245

---

16.
Computed, not measured: a geometry-optimized NiB structure at the PBE-GGA level of DFT.

Computed properties:
The value obtained for the final energy is -73.2 eV/cell. The calculated density comes out at 6.17 Mg/m³. The formation energy from the elements comes out at 0.133 eV per atom. The value obtained for the calculated volume is 112.3 Å³ per cell. Its space group is Pmmn, No. 59.

abc: 3.556 8.566 3.686
angles: 90.00 90.00 90.00
Sites, in units of the cell vectors:
1 Ni 0.250 0.093 0.085
2 Ni 0.250 0.407 0.085
3 Ni 0.250 0.750 0.639
4 Ni 0.750 0.250 0.361
5 Ni 0.750 0.593 0.915
6 Ni 0.750 0.907 0.915
7 B 0.250 0.250 0.633
8 B 0.250 0.644 0.152
9 B 0.250 0.856 0.152
10 B 0.750 0.144 0.848
11 B 0.750 0.356 0.848
12 B 0.750 0.750 0.367

---

17.
Computed, not measured: a geometry-optimized BaAcNiAu structure at the PBE-GGA level of DFT.

Computed properties:
The value obtained for the final energy is -16.2 eV/cell. The calculated density comes out at 8.95 Mg/m³. The formation energy from the elements comes out at -0.268 eV per atom. The value obtained for the calculated volume is 115.1 Å³ per cell. Its space group is F-43m, No. 216.

abc: 5.460 5.460 5.460
angles: 60.00 60.00 60.00
Sites, in units of the cell vectors:
1 Ba 0.000 0.000 0.000
2 Ac 0.500 0.500 0.500
3 Ni 0.250 0.250 0.250
4 Au 0.750 0.750 0.750